(1)
# PBE TaNiMo2, relaxed
# DFT formation energy: 0.50 eV per formula unit
# Total magnetic moment: 0.000 Bohr magnetons per cell
# Energy relative to the lowest polymorph listed for this composition: 164 meV/atom
data_TaNiMo2
_symmetry_space_group_name_H-M 'C 1 2/m 1'
_symmetry_Int_Tables_number 12
_cell_length_a 9.261
_cell_length_b 2.958
_cell_length_c 4.605
_cell_angle_alpha 90.00
_cell_angle_beta 102.42
_cell_angle_gamma 90.00
loop_
_symmetry_equiv_pos_as_xyz
'x,y,z'
'-x,-y,-z'
'-x,y,-z'
'x,-y,z'
'x+1/2,y+1/2,z'
'-x+1/2,-y+1/2,-z'
'-x+1/2,y+1/2,-z'
'x+1/2,-y+1/2,z'
loop_
_atom_site_label
_atom_site_fract_x
_atom_site_fract_y
_atom_site_fract_z
Ta1 0.000 0.000 0.000
Ni1 0.000 0.500 0.500
Mo1 0.231 0.000 0.729

=====

(2)
# PBE TaNiMo2, relaxed
# DFT formation energy: 0.01 eV per formula unit
# Total magnetic moment: 0.001 Bohr magnetons per cell
# Energy relative to the lowest polymorph listed for this composition: 43 meV/atom
data_TaNiMo2
_symmetry_space_group_name_H-M 'C m m m'
_symmetry_Int_Tables_number 65
_symmetry_space_group_name_Hall '-C 2 2'
_cell_length_a 3.343
_cell_length_b 4.240
_cell_length_c 8.597
_cell_angle_alpha 90.00
_cell_angle_beta 90.00
_cell_angle_gamma 90.00
loop_
_atom_site_label
_atom_site_fract_x
_atom_site_fract_y
_atom_site_fract_z
Ta1 0.000 0.000 0.000
Ni1 0.000 0.000 0.500
Mo1 0.000 0.500 0.273

=====

(3)
# PBE Ta4NiMo, relaxed
# DFT formation energy: 3.40 eV per formula unit
# Total magnetic moment: 0.000 Bohr magnetons per cell
data_Ta4NiMo
_symmetry_space_group_name_H-M 'F -4 3 m'
_symmetry_Int_Tables_number 216
_symmetry_space_group_name_Hall 'F -4 2 3'
_cell_length_a 7.558
_cell_length_b 7.558
_cell_length_c 7.558
_cell_angle_alpha 90.00
_cell_angle_beta 90.00
_cell_angle_gamma 90.00
loop_
_atom_site_label
_atom_site_fract_x
_atom_site_fract_y
_atom_site_fract_z
Ta1 0.124 0.124 0.124
Ni1 0.000 0.000 0.500
Mo1 0.250 0.250 0.750

=====

(4)
# PBE Ta2NiMo, relaxed
# DFT formation energy: 0.03 eV per formula unit
# Total magnetic moment: 0.000 Bohr magnetons per cell
data_Ta2NiMo
_symmetry_space_group_name_H-M 'I m m m'
_symmetry_Int_Tables_number 71
_symmetry_space_group_name_Hall '-I 2 2'
_cell_length_a 3.368
_cell_length_b 4.544
_cell_length_c 8.339
_cell_angle_alpha 90.00
_cell_angle_beta 90.00
_cell_angle_gamma 90.00
loop_
_atom_site_label
_atom_site_fract_x
_atom_site_fract_y
_atom_site_fract_z
Ta1 0.000 0.000 0.247
Ni1 0.000 0.500 0.500
Mo1 0.000 0.500 0.000

=====

(5)
# PBE TaNiMo2, relaxed
# DFT formation energy: 1.16 eV per formula unit
# Total magnetic moment: 0.000 Bohr magnetons per cell
# Energy relative to the lowest polymorph listed for this composition: 329 meV/atom
data_TaNiMo2
_symmetry_space_group_name_H-M 'R -3 m'
_symmetry_Int_Tables_number 166
_symmetry_space_group_name_Hall '-R 3 2"'
_cell_length_a 2.7733
_cell_length_b 2.7733
_cell_length_c 28.1195
_cell_angle_alpha 90.00
_cell_angle_beta 90.00
_cell_angle_gamma 120.00
loop_
_atom_site_label
_atom_site_fract_x
_atom_site_fract_y
_atom_site_fract_z
Ta1 0.0000 0.0000 0.0000
Ni1 0.0000 0.0000 0.5000
Mo1 0.0000 0.0000 0.2425

=====

(6)
# PBE Ta2NiMo, relaxed
# DFT formation energy: -0.39 eV per formula unit
# Total magnetic moment: 0.000 Bohr magnetons per cell
data_Ta2NiMo
_symmetry_space_group_name_H-M 'C m m m'
_symmetry_Int_Tables_number 65
_symmetry_space_group_name_Hall '-C 2 2'
_cell_length_a 3.346
_cell_length_b 4.366
_cell_length_c 8.627
_cell_angle_alpha 90.00
_cell_angle_beta 90.00
_cell_angle_gamma 90.00
loop_
_atom_site_label
_atom_site_fract_x
_atom_site_fract_y
_atom_site_fract_z
Ta1 0.000 0.000 0.233
Ni1 0.000 0.500 0.000
Mo1 0.000 0.500 0.500

=====

(7)
# PBE TaNiMo2, relaxed
# DFT formation energy: 0.74 eV per formula unit
# Total magnetic moment: 0.000 Bohr magnetons per cell
# Energy relative to the lowest polymorph listed for this composition: 225 meV/atom
data_TaNiMo2
_symmetry_space_group_name_H-M 'F m -3 m'
_symmetry_Int_Tables_number 225
_symmetry_space_group_name_Hall '-F 4 2 3'
_cell_length_a 6.263
_cell_length_b 6.263
_cell_length_c 6.263
_cell_angle_alpha 90.00
_cell_angle_beta 90.00
_cell_angle_gamma 90.00
loop_
_atom_site_label
_atom_site_fract_x
_atom_site_fract_y
_atom_site_fract_z
Ta1 0.000 0.000 0.000
Ni1 0.000 0.000 0.500
Mo1 0.250 0.250 0.250

=====

(8)
# PBE Ta3NiMo, relaxed
# DFT formation energy: 5.06 eV per formula unit
# Total magnetic moment: 0.000 Bohr magnetons per cell
# Energy relative to the lowest polymorph listed for this composition: 0 meV/atom
data_Ta3NiMo
_symmetry_space_group_name_H-M 'P m -3 m'
_symmetry_Int_Tables_number 221
_symmetry_space_group_name_Hall '-P 4 2 3'
_cell_length_a 4.562
_cell_length_b 4.562
_cell_length_c 4.562
_cell_angle_alpha 90.00
_cell_angle_beta 90.00
_cell_angle_gamma 90.00
loop_
_atom_site_label
_atom_site_fract_x
_atom_site_fract_y
_atom_site_fract_z
Ta1 0.000 0.000 0.500
Ni1 0.000 0.000 0.000
Mo1 0.500 0.500 0.500